! Zr2MnF2, relaxed, DFT GGA+U; values from VASP
! N(E_F) in states/eV per atom: 0.98
! Volume in Å³/cell: 90.6
! VASP energy in eV/atom: -5.4341
! Space group: P4/mmm (123)
&SYSTEM
  ibrav = 0, nat = 5, ntyp = 3
/
ATOMIC_SPECIES
F 19.00 F.upf
Mn 54.94 Mn.upf
Zr 91.22 Zr.upf
CELL_PARAMETERS angstrom
4.727 0.000 0.000
0.000 4.727 0.000
0.000 0.000 4.053
ATOMIC_POSITIONS crystal
F 0.000 0.000 0.500
F 0.500 0.500 0.500
Mn 0.000 0.000 0.000
Zr 0.500 0.000 0.000
Zr 0.000 0.500 0.000